Compound: Li2CdSi
Source: Alexandria
Functional: PBEsol
Structure: optimized geometry

Cell: 4.0734 4.0734 7.5167 Å, 90.00 90.00 90.00°
Positions (direct):
Li  0.0000  0.5000  0.2500
Li  0.0000  0.5000  0.7500
Li  0.5000  0.0000  0.2500
Li  0.5000  0.0000  0.7500
Cd  0.0000  0.0000  0.0000
Cd  0.5000  0.5000  0.5000
Si  0.0000  0.0000  0.5000
Si  0.5000  0.5000  0.0000

- Raw total energy: -2.8904 eV/atom
- SG: No. 139
- Total moment: 0.00 μB/cell
- Formation energy (no corrections): -0.17 eV per atom
- Mass density: 4.11 g/cm3
- N(E_F): 1.5 states/eV/cell